Entry 1:
A relaxed PmErFeNi crystal, computed with GGA-PBE.

Geometry as POSCAR:
```
PmErFeNi
1.0
4.7907 0.0000 0.0000
2.3954 4.1489 0.0000
2.3954 1.3830 3.9116
Ni Pm Fe Er
1 1 1 1
Cartesian
2.3954 1.3830 0.9779 Ni
0.0000 0.0000 0.0000 Pm
7.1861 4.1489 2.9337 Fe
4.7907 2.7659 1.9558 Er
```

Properties
* symmetry: F-43m, No. 216
* energy of formation from the pure elements: -0.59 kcal/mol of atoms
* mass density: 9.12 g/cm3

---

Entry 2:
A relaxed ErScFeNi crystal, computed with GGA-PBE.

Geometry as POSCAR:
```
ErScFeNi
1.0
-3.2056 0.5724 -3.1960
-0.9496 -3.3832 -2.9104
-3.9636 -2.2376 0.3179
Sc Ni Fe Er
1 1 1 1
Cartesian
-4.0594 -2.5242 -2.8942 Sc
-2.0297 -1.2621 -1.4471 Ni
-6.0891 -3.7863 -4.3414 Fe
0.0000 0.0000 0.0000 Er
```

Properties
* symmetry: F-43m, No. 216
* energy of formation from the pure elements: -4.33 kcal/mol of atoms
* mass density: 8.08 g/cm3

---

no.,volume (Å³ per cell)
1,77.7
2,67.2